Here is a geometry-optimized FeHPd2 structure from the Alexandria database. Energies are from PBE.

a = 2.713 Å, b = 2.713 Å, c = 6.357 Å
α = 90.00°, β = 90.00°, γ = 90.00°
Space group P4/mmm (No. 123)
Inequivalent atoms, fractional coordinates:
Fe1 0.000 0.000 0.000 x1
H1 0.000 0.000 0.500 x1
Pd1 0.500 0.500 0.289 x2

Results
relative energy among the computed polymorphs: 0.1794 eV/atom
density of states at the Fermi level: 0.517 states/eV per atom
energy: -21.7 eV/f.u.

Here is a geometry-optimized FeHPd structure from the Alexandria database. Energies are from PBE.

a = 2.7742 Å, b = 2.7742 Å, c = 4.4294 Å
α = 90.00°, β = 90.00°, γ = 120.00°
Space group P3m1 (No. 156)
Inequivalent atoms, fractional coordinates:
Fe1 0.0000 0.0000 0.0000 x1
H1 0.6667 0.3333 0.1797 x1
Pd1 0.3333 0.6667 0.5174 x1

Results
density of states at the Fermi level: 0.774 states/eV per atom
energy: -17.0 eV/f.u.

Here is a geometry-optimized FeH3Pd3 structure from the Alexandria database. Energies are from PBE.

a = 6.5742 Å, b = 6.5742 Å, c = 11.2806 Å
α = 90.00°, β = 90.00°, γ = 120.00°
Space group R-3 (No. 148, hexagonal axes)
Inequivalent atoms, fractional coordinates:
Fe1 0.0000 0.0000 0.1997 x6
H1 0.0078 0.6356 0.9094 x18
Pd1 0.0385 0.2842 0.5965 x18

Results
density of states at the Fermi level: 0.489 states/eV per atom
energy: -33.7 eV/f.u.

no.,ρ (g cm⁻³)
1,9.6
2,9.2
3,8.9